## LaAsOs2 (SCAN)

Data for a PBEsol-optimized structure of LaAsOs2.

Cell: 3.056 4.835 4.843 Å, 90.00 90.00 90.00°
Space group Pmmm (No. 47)
Symmetry-distinct sites (fractional):
La  0.000  0.000  0.000
As  0.500  0.000  0.500
Os  0.000  0.500  0.500
Os  0.500  0.500  0.000

Summary:
The calculation puts the raw total energy at -204.906 eV per cell. Its density is 13.8 Mg/m³. Its energy of formation from the pure elements is 537 meV per atom.